1.
## SnHgOs2O (PBEsol)

Data for a relaxed SnHgOs2O crystal.

Cell and atoms, written as POSCAR:
```
SnHgOs2O
1.0
-2.9445 3.2319 2.3715
-3.0202 -3.7234 1.3244
2.8751 -0.7155 4.5448
Os Hg O Sn
2 1 1 1
Cartesian
-1.5101 -1.8617 0.6622 Os
-1.4723 1.6160 1.1857 Os
0.0000 0.0000 0.0000 Hg
-1.5448 -0.6035 4.1204 O
1.4375 -0.3577 2.2724 Sn
```

Fermi-level density of states: 7.368 states/eV/f.u.
Formation energy without anion corrections: 3.004 eV/atom

2.
## DyZn3P3 (PBEsol)

Data for a relaxed DyZn3P3 crystal.

Cell and atoms, written as POSCAR:
```
DyZn3P3
1.0
3.9462 0.0000 0.0000
-1.9731 3.4175 0.0000
0.0000 0.0000 19.4605
Dy Zn P
2 6 6
Cartesian
0.0000 0.0000 9.7302 Dy
0.0000 0.0000 0.0000 Dy
0.0000 2.2783 14.5954 Zn
1.9731 1.1392 4.8651 Zn
0.0000 2.2783 7.2472 Zn
1.9731 1.1392 12.2133 Zn
1.9731 1.1392 16.9774 Zn
0.0000 2.2783 2.4831 Zn
0.0000 2.2783 17.8190 P
1.9731 1.1392 1.6414 P
1.9731 1.1392 8.0888 P
0.0000 2.2783 11.3717 P
0.0000 2.2783 4.8651 P
1.9731 1.1392 14.5954 P
```

Formation enthalpy at 0 K: -597 meV/atom
Fermi-level density of states: 0.205 states/eV/f.u.

3.
## ErB4Rh4 (PBEsol)

Data for a relaxed ErB4Rh4 crystal.

Cell and atoms, written as POSCAR:
```
ErB4Rh4
1.0
5.2666 0.0000 0.0000
0.0000 5.2666 0.0000
0.0000 0.0000 7.3425
Er B Rh
2 8 8
Cartesian
2.6333 2.6333 3.6712 Er
0.0000 0.0000 0.0000 Er
0.8969 2.6333 1.0934 B
4.3698 2.6333 1.0934 B
0.0000 3.5302 4.7646 B
1.7364 0.0000 2.5778 B
3.5302 0.0000 2.5778 B
2.6333 4.3698 6.2491 B
2.6333 0.8969 6.2491 B
0.0000 1.7364 4.7646 B
3.9430 2.6333 6.2725 Rh
1.3237 2.6333 6.2725 Rh
0.0000 3.9570 2.6013 Rh
1.3097 0.0000 4.7412 Rh
3.9570 0.0000 4.7412 Rh
2.6333 3.9430 1.0699 Rh
2.6333 1.3237 1.0699 Rh
0.0000 1.3097 2.6013 Rh
```

Formation enthalpy at 0 K: -648 meV/atom
Offset from the most stable computed form: 0.0 meV/atom
Fermi-level density of states: 4.222 states/eV/f.u.

4.
## SnRhO3 (PBEsol)

Data for a relaxed SnRhO3 crystal.

Cell and atoms, written as POSCAR:
```
SnRhO3
1.0
-3.1610 -0.9814 -2.2293
-0.4659 -3.3414 2.1315
-2.3908 1.9486 2.5322
Rh Sn O
1 1 3
Cartesian
-3.0089 -1.1871 1.2172 Rh
0.0000 0.0000 0.0000 Sn
-0.2329 -1.6707 1.0657 O
-1.1954 0.9743 1.2661 O
-1.5805 -0.4907 -1.1147 O
```

Fermi-level density of states: 4.434 states/eV/f.u.
Formation energy without anion corrections: -0.269 eV/atom

5.
## Mn2MoIr (PBEsol)

Data for a relaxed Mn2MoIr crystal.

Cell and atoms, written as POSCAR:
```
Mn2MoIr
1.0
-1.2522 1.5156 1.7697
-2.2694 1.1930 -0.6507
-5.5133 -5.8651 3.0989
Ir Mn Mo
1 2 1
Cartesian
-2.2049 -0.7051 1.0206 Ir
-5.4535 -5.7718 3.0613 Mn
-6.8595 -2.4974 3.2158 Mn
-4.5478 -1.6255 2.1280 Mo
```

Formation enthalpy at 0 K: 131 meV/atom
Fermi-level density of states: 4.118 states/eV/f.u.

6.
## CaZrRh4 (PBEsol)

Data for a relaxed CaZrRh4 crystal.

Cell and atoms, written as POSCAR:
```
CaZrRh4
1.0
-5.0428 -0.3965 -1.1241
-2.7702 -3.9552 1.8796
-3.5489 0.8406 3.6810
Ca Rh Zr
1 4 1
Cartesian
0.0000 0.0000 0.0000 Ca
-4.2627 -1.3173 1.6645 Rh
-6.0347 -0.8976 3.5024 Rh
-6.7806 -1.5153 1.1032 Rh
-5.6459 -3.2921 2.6030 Rh
-8.5214 -2.6333 3.3274 Zr
```

Formation enthalpy at 0 K: -495 meV/atom
Fermi-level density of states: 4.301 states/eV/f.u.

7.
## TlHg2P (PBEsol)

Data for a relaxed TlHg2P crystal.

Cell and atoms, written as POSCAR:
```
TlHg2P
1.0
-3.3105 0.2353 -0.6138
0.2083 -0.4477 3.3388
0.3798 8.1254 1.0659
Hg P Tl
2 1 1
Cartesian
0.1077 2.3041 0.3022 Hg
0.2721 5.8214 0.7636 Hg
-1.3612 3.9565 1.8955 P
-1.5511 -0.1062 1.3625 Tl
```

Formation enthalpy at 0 K: 300 meV/atom
Offset from the most stable computed form: 137.7 meV/atom
Fermi-level density of states: 2.028 states/eV/f.u.

8.
## Sr2TeRh (PBEsol)

Data for a relaxed Sr2TeRh crystal.

Cell and atoms, written as POSCAR:
```
Sr2TeRh
1.0
4.1051 0.0000 0.0000
0.0000 4.8273 0.0000
0.0000 0.0000 6.3457
Rh Sr Te
1 2 1
Cartesian
2.0525 2.4137 5.5523 Rh
0.0000 0.0000 5.5575 Sr
2.0525 2.4137 2.3682 Sr
0.0000 0.0000 2.3862 Te
```

Fermi-level density of states: 7.455 states/eV/f.u.
Formation energy without anion corrections: -0.410 eV/atom

9.
## K3TmF6 (PBEsol)

Data for a relaxed K3TmF6 crystal.

Cell and atoms, written as POSCAR:
```
K3TmF6
1.0
-4.9375 -1.9216 -3.2923
1.8565 -6.1687 0.8162
-4.9298 -0.5080 7.3731
K Tm F
6 2 12
Cartesian
-1.5405 -4.0452 -1.2380 K
-2.4649 -0.2540 3.6866 K
-3.4683 -1.3774 0.2464 K
-4.5425 -7.2209 4.6506 K
-0.3381 -3.5828 2.2895 K
-7.6726 -5.0156 2.6075 K
-4.0054 -4.2992 2.4485 Tm
0.0000 0.0000 0.0000 Tm
-2.2984 -5.5669 2.6652 F
-5.7124 -3.0314 2.2318 F
-0.7237 -1.9994 0.2156 F
-7.2871 -6.5989 4.6814 F
-3.6066 -4.0344 0.3733 F
-4.4042 -4.5640 4.5238 F
-3.7076 -7.5982 -0.5010 F
-4.3032 -1.0002 5.3980 F
-2.7377 -2.6448 2.8473 F
-5.2730 -5.9536 2.0498 F
-0.0739 -5.6209 0.1261 F
-7.9369 -2.9775 4.7709 F
```

Fermi-level density of states: 0.000 states/eV/f.u.
Formation energy without anion corrections: -3.377 eV/atom

10.
## ReSe3Cl (PBEsol)

Data for a relaxed ReSe3Cl crystal.

Cell and atoms, written as POSCAR:
```
ReSe3Cl
1.0
-0.0402 -4.6813 1.0991
4.4042 0.4054 1.8877
-1.9303 1.0224 4.2841
Re Se Cl
1 3 1
Cartesian
0.0000 0.0000 0.0000 Re
2.2021 0.2027 0.9438 Se
-0.9652 0.5112 2.1420 Se
-0.0201 -2.3407 0.5496 Se
1.2169 -1.6267 3.6354 Cl
```

Fermi-level density of states: 4.017 states/eV/f.u.
Formation energy without anion corrections: 0.363 eV/atom

11.
## ZrAgAu (PBEsol)

Data for a relaxed ZrAgAu crystal.

Cell and atoms, written as POSCAR:
```
ZrAgAu
1.0
-0.1214 -2.8097 0.3021
4.6690 -0.1977 0.0371
-2.3481 0.5320 4.0055
Au Zr Ag
1 1 1
Cartesian
-0.1102 -2.0523 2.9343 Au
2.2895 -0.8918 1.4606 Zr
-0.1011 -2.3411 0.2517 Ag
```

Formation enthalpy at 0 K: -371 meV/atom
Offset from the most stable computed form: 15.9 meV/atom
Fermi-level density of states: 2.084 states/eV/f.u.

12.
## Na2Ti2Si4O13 (PBEsol)

Data for a relaxed Na2Ti2Si4O13 crystal.

Cell and atoms, written as POSCAR:
```
Na2Ti2Si4O13
1.0
5.2259 0.0000 -0.0015
0.0000 8.6943 0.0000
-2.0874 -4.3472 12.0794
Na Ti Si O
4 4 8 26
Cartesian
2.2141 2.6153 8.4187 Na
-0.3988 -2.6153 8.4195 Na
0.9244 1.7318 3.6592 Na
3.5373 6.9625 3.6584 Na
3.4845 3.5659 3.6110 Ti
0.8716 5.1284 3.6117 Ti
-0.3460 0.7812 8.4669 Ti
2.2669 -0.7812 8.4662 Ti
0.0332 3.5424 6.4598 Si
2.6462 5.1519 6.4591 Si
3.1053 0.8047 5.6181 Si
0.4923 -0.8047 5.6188 Si
-0.7097 3.4612 10.5003 Si
1.9032 -3.4612 10.4995 Si
3.8482 0.8860 1.5776 Si
1.2353 7.8083 1.5784 Si
1.3065 7.4618 -0.0004 O
3.9194 1.2325 -0.0011 O
0.7780 4.0722 10.1439 O
3.3909 4.6221 10.1431 O
2.3605 0.2749 1.9340 O
-0.2524 -0.2749 1.9348 O
1.2896 4.4388 7.0831 O
3.9026 4.2555 7.0823 O
1.8489 -0.0917 4.9948 O
-0.7641 0.0917 4.9956 O
1.8742 3.7485 2.8176 O
4.4872 4.9458 2.8168 O
1.2643 0.5986 9.2603 O
-1.3487 -0.5986 9.2610 O
2.9203 2.2800 5.0028 O
0.3074 6.4143 5.0036 O
0.2182 2.0671 7.0751 O
2.8311 -2.0671 7.0743 O
0.0361 3.6409 4.8365 O
2.6490 5.0534 4.8358 O
3.1024 0.7063 7.2414 O
0.4894 -0.7063 7.2421 O
4.1557 2.1487 2.5136 O
1.5428 6.5456 2.5143 O
-1.0172 2.1985 9.5643 O
1.5957 -2.1985 9.5636 O
```

Fermi-level density of states: 0.000 states/eV/f.u.
Formation energy without anion corrections: -2.772 eV/atom

13.
## RbTlSi3 (PBEsol)

Data for a relaxed RbTlSi3 crystal.

Cell and atoms, written as POSCAR:
```
RbTlSi3
1.0
5.3533 0.0000 0.0000
0.0000 5.3533 0.0000
0.0000 0.0000 5.3533
Tl Si Rb
1 3 1
Cartesian
0.0000 0.0000 0.0000 Tl
0.0000 2.6767 0.0000 Si
0.0000 0.0000 2.6767 Si
2.6767 0.0000 0.0000 Si
2.6767 2.6767 2.6767 Rb
```

Fermi-level density of states: 2.716 states/eV/f.u.
Formation energy without anion corrections: 1.077 eV/atom

14.
## CaNi2MoSe (PBEsol)

Data for a relaxed CaNi2MoSe crystal.

Cell and atoms, written as POSCAR:
```
CaNi2MoSe
1.0
4.5429 0.0000 0.0000
0.0000 4.5429 0.0000
0.0000 0.0000 4.7623
Ni Mo Ca Se
2 1 1 1
Cartesian
0.0000 2.2715 0.0000 Ni
2.2715 0.0000 0.0000 Ni
0.0000 0.0000 0.0000 Mo
2.2715 2.2715 2.3812 Ca
0.0000 0.0000 2.3812 Se
```

Fermi-level density of states: 3.842 states/eV/f.u.
Formation energy without anion corrections: 0.200 eV/atom

15.
## GdRe4Si2 (PBEsol)

Data for a relaxed GdRe4Si2 crystal.

Cell and atoms, written as POSCAR:
```
GdRe4Si2
1.0
-1.4532 1.8226 3.3677
-6.0612 1.9698 -3.6815
-3.2579 -6.2900 1.9983
Gd Re Si
2 8 4
Cartesian
-4.6596 -2.1601 -0.8416 Gd
-0.7266 0.9113 1.6838 Gd
-4.8357 1.0922 -0.1872 Re
-5.9366 -3.5899 1.8716 Re
-1.6838 -1.9727 0.3410 Re
-7.6353 -2.3475 -2.0242 Re
-3.6123 -2.5123 2.2914 Re
-7.1600 0.0147 -0.6070 Re
-2.3830 0.0874 -1.0756 Re
-6.9361 -4.4076 -0.6076 Re
-7.3324 -2.1511 0.4907 Si
-3.4399 -0.3466 1.1937 Si
-3.8434 -4.5650 0.8121 Si
-5.4758 0.2448 -2.4953 Si
```

Fermi-level density of states: 3.972 states/eV/f.u.
Formation energy without anion corrections: -0.493 eV/atom

16.
## MnCo4Ag (PBEsol)

Data for a relaxed MnCo4Ag crystal.

Cell and atoms, written as POSCAR:
```
MnCo4Ag
1.0
-3.0918 -0.7606 3.4187
0.7149 -3.4464 3.0719
1.1140 1.0077 4.4237
Ag Co Mn
1 4 1
Cartesian
0.0000 0.0000 0.0000 Ag
-2.0170 -1.5801 5.8016 Co
-0.4739 -1.2005 4.0952 Co
0.0821 -0.6975 6.3032 Co
-0.1170 -2.9206 5.6285 Co
-0.9472 -2.3995 8.1857 Mn
```

Formation enthalpy at 0 K: 240 meV/atom
Fermi-level density of states: 5.875 states/eV/f.u.

17.
## TlCuPSe3 (PBEsol)

Data for a relaxed TlCuPSe3 crystal.

Cell and atoms, written as POSCAR:
```
TlCuPSe3
1.0
-3.4005 3.5201 5.4946
6.0984 -2.4790 5.2826
4.8007 7.6700 -1.9427
Tl Cu P Se
4 4 4 12
Cartesian
7.5007 7.2103 4.7494 Tl
-0.0021 1.5008 4.0851 Tl
0.7505 7.0133 5.6650 Tl
6.7481 1.6977 3.1695 Tl
2.4338 2.2470 7.9917 Cu
1.9838 3.1627 2.2393 Cu
5.5148 5.5484 6.5951 Cu
5.0648 6.4641 0.8428 Cu
-2.4651 4.1202 5.6280 P
9.9637 4.5908 3.2065 P
3.6944 3.3734 4.9514 P
3.8042 5.3377 3.8831 P
4.5633 1.9120 8.8992 Se
-1.2719 2.8834 6.9979 Se
1.8914 5.4248 2.8044 Se
5.6813 5.1968 2.6819 Se
6.3074 0.1003 6.1516 Se
8.7705 5.8277 1.8366 Se
2.9353 6.7990 -0.0647 Se
4.0456 6.9384 5.4204 Se
1.8173 3.5143 6.1526 Se
1.1912 8.6107 2.6829 Se
3.4530 1.7727 3.4141 Se
5.6073 3.2863 6.0301 Se
```

Formation energy without anion corrections: -0.210 eV/atom

18.
## Al2CdCoAs (PBEsol)

Data for a relaxed Al2CdCoAs crystal.

Cell and atoms, written as POSCAR:
```
Al2CdCoAs
1.0
-2.1031 -3.4820 1.2854
3.9508 -2.7304 -0.9322
1.5835 0.7308 4.5706
As Co Al Cd
1 1 2 1
Cartesian
0.0000 0.0000 0.0000 As
-1.0516 -1.7410 0.6427 Co
0.7917 0.3654 2.2853 Al
1.9754 -1.3652 -0.4661 Al
1.7156 -2.7408 2.4619 Cd
```

Formation enthalpy at 0 K: 601 meV/atom
Fermi-level density of states: 3.358 states/eV/f.u.

19.
## Ca3Mn4BiO12 (PBEsol)

Data for a relaxed Ca3Mn4BiO12 crystal.

Cell and atoms, written as POSCAR:
```
Ca3Mn4BiO12
1.0
-3.7978 2.9213 2.2336
-3.0712 -4.3561 0.4457
2.9149 -1.3653 6.7420
Ca Mn Bi O
3 4 1 12
Cartesian
-6.7038 -1.2760 2.6400 Ca
-2.0777 -1.6068 4.7123 Ca
1.2958 -0.8387 3.4093 Ca
0.6297 -3.1942 5.2568 Mn
-4.2150 -3.2338 3.2696 Mn
-0.8043 -2.5225 1.9398 Mn
-2.7804 -3.9058 6.5878 Mn
-3.3233 -0.4806 1.3395 Bi
-1.3378 0.2748 7.1862 O
-4.2701 -1.3197 3.3573 O
-2.3760 -3.2161 2.7779 O
0.0861 -1.3891 5.5915 O
-1.1525 -3.7892 5.6077 O
-1.1608 -0.8051 2.7076 O
-3.0369 1.0706 3.2564 O
-2.6075 -2.0985 7.2028 O
-1.6611 1.1912 0.9594 O
-1.8562 -2.0447 0.3885 O
-3.7586 -3.2963 5.0969 O
-3.5335 -0.0676 5.6534 O
```

Fermi-level density of states: 3.504 states/eV/f.u.
Formation energy without anion corrections: -2.116 eV/atom

20.
## InCo2Cl (PBEsol)

Data for a relaxed InCo2Cl crystal.

Cell and atoms, written as POSCAR:
```
InCo2Cl
1.0
-3.5363 -0.1054 -0.4801
-0.4716 -0.2567 3.5297
1.8159 5.0072 -1.1989
Cl Co In
1 2 1
Cartesian
-0.3298 2.2847 1.9278 Cl
0.0000 0.0000 0.0000 Co
-1.8622 2.3604 -0.0771 Co
-2.0039 -0.1810 1.5248 In
```

Offset from the most stable computed form: 419.0 meV/atom
Fermi-level density of states: 7.197 states/eV/f.u.
Formation energy without anion corrections: 0.600 eV/atom

21.
## TeAu2Br (PBEsol)

Data for a relaxed TeAu2Br crystal.

Cell and atoms, written as POSCAR:
```
TeAu2Br
1.0
3.9872 0.0000 0.0000
1.9936 3.4530 0.0000
1.9936 1.1510 6.7121
Te Au Br
1 2 1
Cartesian
0.0000 0.0000 0.0000 Te
1.9936 1.1510 1.5707 Au
5.9807 3.4530 5.1413 Au
3.9872 2.3020 3.3560 Br
```

Offset from the most stable computed form: 0.0 meV/atom
Fermi-level density of states: 1.828 states/eV/f.u.
Formation energy without anion corrections: 0.052 eV/atom

22.
## YOs2Au (PBEsol)

Data for a relaxed YOs2Au crystal.

Cell and atoms, written as POSCAR:
```
YOs2Au
1.0
-1.1459 -0.3157 3.1582
-2.6380 -1.7723 -1.1343
3.2279 -5.2203 0.6493
Au Os Y
1 2 1
Cartesian
-0.2780 -3.6541 1.3366 Au
2.2995 -3.7189 0.4626 Os
0.9283 -1.5013 0.1867 Os
-1.8920 -1.0440 1.0120 Y
```

Formation enthalpy at 0 K: 527 meV/atom
Offset from the most stable computed form: 455.1 meV/atom
Fermi-level density of states: 6.170 states/eV/f.u.